Compound: Tb4MgOs
Source: Alexandria
Functional: GGA-PBE
Structure: optimized geometry

Geometry as POSCAR:
```
Tb4MgOs
1.0
-1.201 2.791 9.267
6.381 -2.830 6.811
6.100 6.495 3.966
Os Tb Mg
4 16 4
Direct
0.166 0.611 0.611 Os
0.611 0.611 0.166 Os
0.611 0.611 0.611 Os
0.611 0.166 0.611 Os
0.809 0.191 0.809 Tb
0.406 0.781 0.406 Tb
0.191 0.809 0.809 Tb
0.938 0.938 0.562 Tb
0.809 0.809 0.191 Tb
0.809 0.191 0.191 Tb
0.191 0.809 0.191 Tb
0.562 0.938 0.562 Tb
0.406 0.406 0.781 Tb
0.562 0.562 0.938 Tb
0.562 0.938 0.938 Tb
0.781 0.406 0.406 Tb
0.406 0.406 0.406 Tb
0.191 0.191 0.809 Tb
0.938 0.562 0.562 Tb
0.938 0.562 0.938 Tb
0.487 0.171 0.171 Mg
0.171 0.487 0.171 Mg
0.171 0.171 0.487 Mg
0.171 0.171 0.171 Mg
```

Summary:
Volume: 27.332 Å³ per atom
Energy above the lowest structure with this stoichiometry: 0.000 eV/atom
Energy relative to the elements: -0.18 eV per atom
Magnetic moment: 0.0 μB per formula unit
Fermi-level density of states: 7.6 states/eV/f.u.
Space group: No. 216